# 1
First-principles (PBE-GGA) data for a relaxed TbSm3Sb2C crystal, as listed in Alexandria.

The structure in CIF format:
```
data_TbSm3Sb2C
_space_group_name_H-M_alt 'P 1'
_space_group_IT_number 1
_space_group_name_Hall 'P 1'
_cell_length_a 4.833
_cell_length_b 4.900
_cell_length_c 8.772
_cell_angle_alpha 106.22
_cell_angle_beta 105.99
_cell_angle_gamma 90.00
loop_
_atom_site_label
_atom_site_type_symbol
_atom_site_fract_x
_atom_site_fract_y
_atom_site_fract_z
_atom_site_occupancy
Sb1 Sb 0.360 0.360 0.719 1
C1 C 0.000 0.000 0.000 1
Tb1 Tb 0.500 0.000 0.000 1
Sb2 Sb 0.640 0.640 0.281 1
Sm1 Sm 0.840 0.840 0.681 1
Sm2 Sm 0.000 0.500 0.000 1
Sm3 Sm 0.160 0.160 0.319 1
```

magnetic moment = 0.00 μB/atom
SG = Immm
total DFT energy (no corrections) = -5.94 eV per atom
formation energy from raw total energies = -763 meV per atom

=====

# 2
First-principles (PBE-GGA) data for a relaxed NaCuGe2Rh crystal, as listed in Alexandria.

The structure in CIF format:
```
data_NaCuGe2Rh
_space_group_name_H-M_alt 'P 1'
_space_group_IT_number 1
_space_group_name_Hall 'P 1'
_cell_length_a 4.686
_cell_length_b 5.289
_cell_length_c 4.686
_cell_angle_alpha 90.00
_cell_angle_beta 90.00
_cell_angle_gamma 90.00
loop_
_atom_site_label
_atom_site_type_symbol
_atom_site_fract_x
_atom_site_fract_y
_atom_site_fract_z
_atom_site_occupancy
Na1 Na 0.000 0.500 0.000 1
Ge1 Ge 0.500 0.000 0.000 1
Rh1 Rh 0.000 0.000 0.000 1
Ge2 Ge 0.000 0.000 0.500 1
Cu1 Cu 0.500 0.500 0.500 1
```

magnetic moment = 0.00 μB/atom
SG = P4/mmm
formation energy = 0.314 eV per atom
total DFT energy (no corrections) = -4.09 eV per atom

=====

# 3
First-principles (PBE-GGA) data for a relaxed ZrMo crystal, as listed in Alexandria.

The structure in CIF format:
```
data_ZrMo
_space_group_name_H-M_alt 'P 1'
_space_group_IT_number 1
_space_group_name_Hall 'P 1'
_cell_length_a 5.706
_cell_length_b 5.706
_cell_length_c 6.683
_cell_angle_alpha 71.33
_cell_angle_beta 71.33
_cell_angle_gamma 33.66
loop_
_atom_site_label
_atom_site_type_symbol
_atom_site_fract_x
_atom_site_fract_y
_atom_site_fract_z
_atom_site_occupancy
Mo1 Mo 0.372 0.372 0.257 1
Zr1 Zr 0.700 0.700 0.615 1
Zr2 Zr 0.011 0.011 0.456 1
Mo2 Mo 0.013 0.013 0.954 1
Zr3 Zr 0.702 0.702 0.098 1
Mo3 Mo 0.369 0.369 0.787 1
```

magnetic moment = 0.00 μB/atom
SG = Cm
formation energy = 0.002 eV per atom
total DFT energy (no corrections) = -9.69 eV per atom
ΔE to the lowest computed polymorph = 0.0438 eV per atom

=====

# 4
First-principles (PBE-GGA) data for a relaxed PaPRhS crystal, as listed in Alexandria.

The structure in CIF format:
```
data_PaPRhS
_space_group_name_H-M_alt 'P 1'
_space_group_IT_number 1
_space_group_name_Hall 'P 1'
_cell_length_a 4.024
_cell_length_b 4.024
_cell_length_c 8.647
_cell_angle_alpha 90.00
_cell_angle_beta 90.00
_cell_angle_gamma 90.00
loop_
_atom_site_label
_atom_site_type_symbol
_atom_site_fract_x
_atom_site_fract_y
_atom_site_fract_z
_atom_site_occupancy
Pa1 Pa 0.000 0.500 0.284 1
S1 S 0.500 0.500 0.500 1
S2 S 0.000 0.000 0.500 1
Rh1 Rh 0.000 0.000 0.000 1
Pa2 Pa 0.500 0.000 0.716 1
P1 P 0.000 0.500 0.833 1
Rh2 Rh 0.500 0.500 0.000 1
P2 P 0.500 0.000 0.167 1
```

magnetic moment = 0.00 μB/atom
SG = P4/nmm
total DFT energy (no corrections) = -7.77 eV per atom
formation energy from raw total energies = -1172 meV per atom

=====

# 5
First-principles (PBE-GGA) data for a relaxed KAg7Cl12 crystal, as listed in Alexandria.

The structure in CIF format:
```
data_KAg7Cl12
_space_group_name_H-M_alt 'P 1'
_space_group_IT_number 1
_space_group_name_Hall 'P 1'
_cell_length_a 8.581
_cell_length_b 8.581
_cell_length_c 8.581
_cell_angle_alpha 109.47
_cell_angle_beta 109.47
_cell_angle_gamma 109.47
loop_
_atom_site_label
_atom_site_type_symbol
_atom_site_fract_x
_atom_site_fract_y
_atom_site_fract_z
_atom_site_occupancy
Ag1 Ag 0.500 0.500 0.000 1
Cl1 Cl 0.688 0.824 0.512 1
Ag2 Ag 0.000 0.500 0.000 1
Ag3 Ag 0.500 0.000 0.500 1
Cl2 Cl 0.312 0.824 0.137 1
Cl3 Cl 0.176 0.863 0.688 1
Cl4 Cl 0.488 0.312 0.176 1
Ag4 Ag 0.500 0.000 0.000 1
Ag5 Ag 0.000 0.000 0.500 1
Ag6 Ag 0.500 0.500 0.500 1
Cl5 Cl 0.688 0.176 0.863 1
Cl6 Cl 0.137 0.312 0.824 1
Cl7 Cl 0.863 0.688 0.176 1
Ag7 Ag 0.000 0.500 0.500 1
Cl8 Cl 0.824 0.512 0.688 1
Cl9 Cl 0.176 0.488 0.312 1
Cl10 Cl 0.824 0.137 0.312 1
K1 K 0.000 0.000 0.000 1
Cl11 Cl 0.512 0.688 0.824 1
Cl12 Cl 0.312 0.176 0.488 1
```

magnetic moment = 0.00 μB/atom
SG = Im-3
total DFT energy (no corrections) = -2.71 eV per atom
formation energy from raw total energies = -549 meV per atom

=====

# 6
First-principles (PBE-GGA) data for a relaxed CsLiHgBr4 crystal, as listed in Alexandria.

The structure in CIF format:
```
data_CsLiHgBr4
_space_group_name_H-M_alt 'P 1'
_space_group_IT_number 1
_space_group_name_Hall 'P 1'
_cell_length_a 6.719
_cell_length_b 7.981
_cell_length_c 9.969
_cell_angle_alpha 90.00
_cell_angle_beta 105.41
_cell_angle_gamma 90.00
loop_
_atom_site_label
_atom_site_type_symbol
_atom_site_fract_x
_atom_site_fract_y
_atom_site_fract_z
_atom_site_occupancy
Cs1 Cs 0.757 0.750 0.913 1
Br1 Br 0.098 0.004 0.725 1
Br2 Br 0.902 0.504 0.275 1
Br3 Br 0.098 0.496 0.725 1
Hg1 Hg 0.819 0.250 0.652 1
Cs2 Cs 0.243 0.250 0.087 1
Hg2 Hg 0.181 0.750 0.348 1
Li1 Li 0.330 0.250 0.693 1
Br4 Br 0.342 0.750 0.107 1
Br5 Br 0.902 0.996 0.275 1
Br6 Br 0.658 0.250 0.893 1
Br7 Br 0.539 0.750 0.525 1
Br8 Br 0.461 0.250 0.475 1
Li2 Li 0.670 0.750 0.307 1
```

magnetic moment = 0.00 μB/atom
SG = P2_1/m
total DFT energy (no corrections) = -2.54 eV per atom
formation energy from raw total energies = -1148 meV per atom

=====

> Which value of total DFT energy (no corrections) does entry 1 give?

-5.94 eV per atom

=====

> Which formula does entry 2 have?

NaCuGe2Rh

=====

Repeat the third record exactly.
First-principles (PBE-GGA) data for a relaxed ZrMo crystal, as listed in Alexandria.

The structure in CIF format:
```
data_ZrMo
_space_group_name_H-M_alt 'P 1'
_space_group_IT_number 1
_space_group_name_Hall 'P 1'
_cell_length_a 5.706
_cell_length_b 5.706
_cell_length_c 6.683
_cell_angle_alpha 71.33
_cell_angle_beta 71.33
_cell_angle_gamma 33.66
loop_
_atom_site_label
_atom_site_type_symbol
_atom_site_fract_x
_atom_site_fract_y
_atom_site_fract_z
_atom_site_occupancy
Mo1 Mo 0.372 0.372 0.257 1
Zr1 Zr 0.700 0.700 0.615 1
Zr2 Zr 0.011 0.011 0.456 1
Mo2 Mo 0.013 0.013 0.954 1
Zr3 Zr 0.702 0.702 0.098 1
Mo3 Mo 0.369 0.369 0.787 1
```

magnetic moment = 0.00 μB/atom
SG = Cm
formation energy = 0.002 eV per atom
total DFT energy (no corrections) = -9.69 eV per atom
ΔE to the lowest computed polymorph = 0.0438 eV per atom